Below is crystalline Na2Cd2Sb at its relaxed geometry, with properties calculated at the PBE-GGA level.

Cell: 8.008 8.008 8.008 Å, 148.86 148.86 44.61°
Fractional coordinates of all 5 atoms:
Na 0.250 0.750 0.500
Na 0.750 0.250 0.500
Cd 0.096 0.096 0.000
Cd 0.904 0.904 0.000
Sb 0.500 0.500 0.000

Values from the calculation:
formation energy from raw total energies	0.07	eV per atom
DOS at the Fermi energy	1.9	states/eV/f.u.
offset from the most stable computed form	1.12	eV/f.u.
SG	I4/mmm, No. 139
calculated density	4.76	g cm⁻³

Below is crystalline Na16Cd12Sb at its relaxed geometry, with properties calculated at the PBE-GGA level.

Cell: 9.889 9.889 10.237 Å, 109.14 109.14 107.22°
Fractional coordinates of all 29 atoms:
Na 0.000 0.000 0.000
Na 0.004 0.594 0.326
Na 0.007 0.007 0.357
Na 0.284 0.665 0.690
Na 0.310 0.988 0.590
Na 0.334 0.571 0.983
Na 0.362 0.995 0.997
Na 0.415 0.709 0.412
Na 0.571 0.334 0.983
Na 0.594 0.004 0.326
Na 0.636 0.636 0.690
Na 0.665 0.284 0.690
Na 0.697 0.697 0.298
Na 0.709 0.415 0.412
Na 0.988 0.310 0.590
Na 0.995 0.362 0.997
Cd 0.166 0.356 0.348
Cd 0.172 0.172 0.817
Cd 0.197 0.812 0.181
Cd 0.351 0.351 0.166
Cd 0.356 0.166 0.348
Cd 0.629 0.997 0.826
Cd 0.654 0.838 0.032
Cd 0.807 0.997 0.647
Cd 0.812 0.197 0.181
Cd 0.838 0.654 0.032
Cd 0.997 0.629 0.826
Cd 0.997 0.807 0.647
Sb 0.338 0.338 0.655

Values from the calculation:
formation energy from raw total energies	-0.11	eV per atom
DOS at the Fermi energy	11.2	states/eV/f.u.
SG	Cm, No. 8
calculated density	3.83	g cm⁻³

Below is crystalline Na2Cd2Sb at its relaxed geometry, with properties calculated at the PBE-GGA level.

Cell: 8.599 8.599 3.679 Å, 90.00 90.00 90.00°
Fractional coordinates of all 10 atoms:
Na 0.163 0.337 0.000
Na 0.337 0.837 0.000
Na 0.663 0.163 0.000
Na 0.837 0.663 0.000
Cd 0.134 0.634 0.500
Cd 0.366 0.134 0.500
Cd 0.634 0.866 0.500
Cd 0.866 0.366 0.500
Sb 0.000 0.000 0.000
Sb 0.500 0.500 0.000

Values from the calculation:
formation energy from raw total energies	0.02	eV per atom
DOS at the Fermi energy	1.3	states/eV/f.u.
offset from the most stable computed form	0.85	eV/f.u.
SG	P4/mbm, No. 127
calculated density	4.79	g cm⁻³

Below is crystalline Na3CdSb at its relaxed geometry, with properties calculated at the PBE-GGA level.

Cell: 5.929 5.929 5.929 Å, 90.00 90.00 90.00°
Fractional coordinates of all 5 atoms:
Na 0.000 0.000 0.500
Na 0.000 0.500 0.000
Na 0.500 0.000 0.000
Cd 0.500 0.500 0.500
Sb 0.000 0.000 0.000

Values from the calculation:
formation energy from raw total energies	-0.14	eV per atom
DOS at the Fermi energy	0.0	states/eV/f.u.
offset from the most stable computed form	0.00	eV/f.u.
SG	Pm-3m, No. 221
calculated density	2.41	g cm⁻³

Below is crystalline NaCdSb2 at its relaxed geometry, with properties calculated at the PBE-GGA level.

Cell: 4.113 4.113 6.510 Å, 90.00 90.00 90.00°
Fractional coordinates of all 4 atoms:
Na 0.000 0.000 0.000
Cd 0.000 0.000 0.500
Sb 0.500 0.500 0.283
Sb 0.500 0.500 0.717

Values from the calculation:
formation energy from raw total energies	-0.08	eV per atom
DOS at the Fermi energy	1.9	states/eV/f.u.
SG	P4/mmm, No. 123
calculated density	5.71	g cm⁻³

Below is crystalline Na8CdSb2 at its relaxed geometry, with properties calculated at the PBE-GGA level.

Cell: 8.706 8.706 8.706 Å, 145.33 118.30 72.75°
Fractional coordinates of all 11 atoms:
Na 0.128 0.337 0.791
Na 0.147 0.147 0.000
Na 0.319 0.000 0.319
Na 0.453 0.663 0.791
Na 0.547 0.337 0.209
Na 0.681 0.000 0.681
Na 0.853 0.853 0.000
Na 0.872 0.663 0.209
Cd 0.000 0.500 0.500
Sb 0.299 0.799 0.500
Sb 0.701 0.201 0.500

Values from the calculation:
formation energy from raw total energies	-0.28	eV per atom
DOS at the Fermi energy	3.8	states/eV/f.u.
SG	Immm, No. 71
calculated density	2.76	g cm⁻³

Below is crystalline NaCd3Sb at its relaxed geometry, with properties calculated at the PBE-GGA level.

Cell: 5.710 5.710 5.710 Å, 90.00 90.00 90.00°
Fractional coordinates of all 5 atoms:
Na 0.000 0.000 0.000
Cd 0.000 0.500 0.500
Cd 0.500 0.000 0.500
Cd 0.500 0.500 0.000
Sb 0.500 0.500 0.500

Values from the calculation:
formation energy from raw total energies	0.25	eV per atom
DOS at the Fermi energy	1.8	states/eV/f.u.
offset from the most stable computed form	0.00	eV/f.u.
SG	Pm-3m, No. 221
calculated density	4.30	g cm⁻³

Below is crystalline Na2Cd3Sb2 at its relaxed geometry, with properties calculated at the PBE-GGA level.

Cell: 6.185 6.185 7.841 Å, 108.46 108.46 43.10°
Fractional coordinates of all 7 atoms:
Na 0.139 0.139 0.285
Na 0.861 0.861 0.715
Cd 0.392 0.392 0.050
Cd 0.500 0.500 0.500
Cd 0.608 0.608 0.950
Sb 0.156 0.156 0.725
Sb 0.844 0.844 0.275

Values from the calculation:
formation energy from raw total energies	-0.18	eV per atom
DOS at the Fermi energy	1.9	states/eV/f.u.
SG	C2/m, No. 12
calculated density	5.40	g cm⁻³

Below is crystalline NaCd4Sb3 at its relaxed geometry, with properties calculated at the PBE-GGA level.

Cell: 4.705 4.705 10.970 Å, 90.00 90.00 90.00°
Fractional coordinates of all 8 atoms:
Na 0.000 0.000 0.000
Cd 0.000 0.500 0.325
Cd 0.000 0.500 0.675
Cd 0.500 0.000 0.325
Cd 0.500 0.000 0.675
Sb 0.000 0.000 0.500
Sb 0.500 0.500 0.166
Sb 0.500 0.500 0.834

Values from the calculation:
formation energy from raw total energies	-0.09	eV per atom
DOS at the Fermi energy	1.3	states/eV/f.u.
SG	P4/mmm, No. 123
calculated density	5.73	g cm⁻³

Below is crystalline Na2CdSb2 at its relaxed geometry, with properties calculated at the PBE-GGA level.

Cell: 6.451 6.451 11.179 Å, 117.55 117.55 46.42°
Fractional coordinates of all 10 atoms:
Na 0.021 0.021 0.197
Na 0.175 0.175 0.584
Na 0.825 0.825 0.416
Na 0.979 0.979 0.803
Cd 0.289 0.289 0.137
Cd 0.711 0.711 0.863
Sb 0.359 0.359 0.915
Sb 0.466 0.466 0.610
Sb 0.534 0.534 0.390
Sb 0.641 0.641 0.085

Values from the calculation:
formation energy from raw total energies	-0.29	eV per atom
DOS at the Fermi energy	0.8	states/eV/f.u.
offset from the most stable computed form	0.00	eV/f.u.
SG	C2/m, No. 12
calculated density	4.58	g cm⁻³

Below is crystalline Na2CdSb at its relaxed geometry, with properties calculated at the PBE-GGA level.

Cell: 6.936 6.936 6.936 Å, 101.17 101.17 127.76°
Fractional coordinates of all 8 atoms:
Na 0.111 0.625 0.986
Na 0.375 0.361 0.486
Na 0.639 0.125 0.014
Na 0.875 0.889 0.514
Cd 0.250 0.750 0.500
Cd 0.500 0.500 0.000
Sb 0.000 0.000 0.000
Sb 0.750 0.250 0.500

Values from the calculation:
formation energy from raw total energies	-0.08	eV per atom
DOS at the Fermi energy	1.8	states/eV/f.u.
SG	I-42d, No. 122
calculated density	3.93	g cm⁻³

Below is crystalline Na2CdSb at its relaxed geometry, with properties calculated at the PBE-GGA level.

Cell: 8.040 6.974 9.380 Å, 90.00 125.66 90.00°
Fractional coordinates of all 16 atoms:
Na 0.001 0.250 0.001
Na 0.001 0.250 0.501
Na 0.263 0.000 0.381
Na 0.263 0.500 0.881
Na 0.737 0.000 0.619
Na 0.737 0.500 0.119
Na 0.999 0.750 0.499
Na 0.999 0.750 0.999
Cd 0.250 0.501 0.375
Cd 0.250 0.999 0.875
Cd 0.750 0.001 0.125
Cd 0.750 0.499 0.625
Sb 0.499 0.707 0.740
Sb 0.499 0.793 0.240
Sb 0.501 0.207 0.760
Sb 0.501 0.293 0.260

Values from the calculation:
formation energy from raw total energies	-0.19	eV per atom
DOS at the Fermi energy	1.7	states/eV/f.u.
SG	P2_1/c, No. 14
calculated density	4.35	g cm⁻³

Below is crystalline Na2CdSb2 at its relaxed geometry, with properties calculated at the PBE-GGA level.

Cell: 9.280 9.280 3.326 Å, 90.00 90.00 90.00°
Fractional coordinates of all 10 atoms:
Na 0.183 0.317 0.000
Na 0.317 0.817 0.000
Na 0.683 0.183 0.000
Na 0.817 0.683 0.000
Cd 0.000 0.000 0.500
Cd 0.500 0.500 0.500
Sb 0.111 0.611 0.500
Sb 0.389 0.111 0.500
Sb 0.611 0.889 0.500
Sb 0.889 0.389 0.500

Values from the calculation:
formation energy from raw total energies	-0.13	eV per atom
DOS at the Fermi energy	1.7	states/eV/f.u.
offset from the most stable computed form	0.83	eV/f.u.
SG	P4/mbm, No. 127
calculated density	4.66	g cm⁻³

Below is crystalline Na4CdSb at its relaxed geometry, with properties calculated at the PBE-GGA level.

Cell: 5.805 5.805 5.848 Å, 90.07 90.07 59.41°
Fractional coordinates of all 6 atoms:
Na 0.155 0.155 0.000
Na 0.338 0.338 0.500
Na 0.662 0.662 0.500
Na 0.845 0.845 0.000
Cd 0.500 0.500 0.000
Sb 0.000 0.000 0.500

Values from the calculation:
formation energy from raw total energies	-0.21	eV per atom
DOS at the Fermi energy	1.8	states/eV/f.u.
SG	C2/m, No. 12
calculated density	3.19	g cm⁻³

Below is crystalline NaCdSb3 at its relaxed geometry, with properties calculated at the PBE-GGA level.

Cell: 5.618 5.618 5.618 Å, 90.00 90.00 90.00°
Fractional coordinates of all 5 atoms:
Na 0.000 0.000 0.000
Cd 0.500 0.500 0.500
Sb 0.000 0.500 0.500
Sb 0.500 0.000 0.500
Sb 0.500 0.500 0.000

Values from the calculation:
formation energy from raw total energies	0.43	eV per atom
DOS at the Fermi energy	3.5	states/eV/f.u.
offset from the most stable computed form	0.00	eV/f.u.
SG	Pm-3m, No. 221
calculated density	4.69	g cm⁻³

Below is crystalline Na12CdSb7 at its relaxed geometry, with properties calculated at the PBE-GGA level.

Cell: 8.631 8.631 8.631 Å, 95.44 95.44 95.44°
Fractional coordinates of all 20 atoms:
Na 0.063 0.103 0.345
Na 0.103 0.345 0.063
Na 0.226 0.341 0.718
Na 0.282 0.774 0.659
Na 0.341 0.718 0.226
Na 0.345 0.063 0.103
Na 0.655 0.937 0.897
Na 0.659 0.282 0.774
Na 0.718 0.226 0.341
Na 0.774 0.659 0.282
Na 0.897 0.655 0.937
Na 0.937 0.897 0.655
Cd 0.500 0.500 0.500
Sb 0.000 0.000 0.000
Sb 0.124 0.492 0.397
Sb 0.397 0.124 0.492
Sb 0.492 0.397 0.124
Sb 0.508 0.603 0.876
Sb 0.603 0.876 0.508
Sb 0.876 0.507 0.603

Values from the calculation:
formation energy from raw total energies	-0.22	eV per atom
DOS at the Fermi energy	11.3	states/eV/f.u.
SG	R-3, No. 148
calculated density	3.25	g cm⁻³

Below is crystalline Na2Cd2Sb3 at its relaxed geometry, with properties calculated at the PBE-GGA level.

Cell: 4.376 6.980 7.957 Å, 83.58 89.52 71.74°
Fractional coordinates of all 7 atoms:
Na 0.144 0.200 0.341
Na 0.856 0.800 0.659
Cd 0.341 0.817 0.007
Cd 0.659 0.183 0.993
Sb 0.000 0.500 0.000
Sb 0.173 0.163 0.741
Sb 0.827 0.837 0.259

Values from the calculation:
formation energy from raw total energies	-0.15	eV per atom
DOS at the Fermi energy	2.0	states/eV/f.u.
SG	P-1, No. 2
calculated density	4.61	g cm⁻³

Below is crystalline NaCdSb3 at its relaxed geometry, with properties calculated at the PBE-GGA level.

Cell: 5.416 5.416 5.416 Å, 90.00 90.00 90.00°
Fractional coordinates of all 5 atoms:
Na 0.000 0.000 0.000
Cd 0.500 0.500 0.500
Sb 0.000 0.000 0.500
Sb 0.000 0.500 0.000
Sb 0.500 0.000 0.000

Values from the calculation:
formation energy from raw total energies	0.72	eV per atom
DOS at the Fermi energy	2.6	states/eV/f.u.
offset from the most stable computed form	1.43	eV/f.u.
SG	Pm-3m, No. 221
calculated density	5.23	g cm⁻³

Below is crystalline Na2CdSb2 at its relaxed geometry, with properties calculated at the PBE-GGA level.

Cell: 7.458 7.458 7.458 Å, 142.70 142.70 53.78°
Fractional coordinates of all 5 atoms:
Na 0.250 0.750 0.500
Na 0.750 0.250 0.500
Cd 0.000 0.000 0.000
Sb 0.398 0.398 0.000
Sb 0.602 0.602 0.000

Values from the calculation:
formation energy from raw total energies	0.03	eV per atom
DOS at the Fermi energy	3.1	states/eV/f.u.
offset from the most stable computed form	1.60	eV/f.u.
SG	I4/mmm, No. 139
calculated density	4.41	g cm⁻³

Below is crystalline Na3CdSb at its relaxed geometry, with properties calculated at the PBE-GGA level.

Cell: 7.716 7.716 7.716 Å, 87.41 114.66 128.90°
Fractional coordinates of all 10 atoms:
Na 0.194 0.006 0.688
Na 0.246 0.028 0.274
Na 0.246 0.472 0.718
Na 0.318 0.506 0.312
Na 0.754 0.528 0.282
Na 0.754 0.972 0.726
Cd 0.257 0.757 0.000
Cd 0.758 0.257 0.000
Sb 0.699 0.504 0.695
Sb 0.809 0.004 0.305

Values from the calculation:
formation energy from raw total energies	-0.08	eV per atom
DOS at the Fermi energy	2.4	states/eV/f.u.
offset from the most stable computed form	0.31	eV/f.u.
SG	Ima2, No. 46
calculated density	3.26	g cm⁻³